1.
Compound: SrIn2Cu
Source: Alexandria via LeMat-Bulk
Functional: PBE
Structure: relaxed

Formation energy in eV/atom: -0.104

Geometry as CIF:
```
data_SrIn2Cu
_chemical_formula_sum 'Sr2 In4 Cu2'
_symmetry_space_group_name_H-M 'I m m 2'
_symmetry_Int_Tables_number 44
_cell_length_a 5.0019
_cell_length_b 5.4176
_cell_length_c 7.4612
_cell_angle_alpha 90.00
_cell_angle_beta 90.00
_cell_angle_gamma 90.00
loop_
_symmetry_equiv_pos_as_xyz
'x,y,z'
'-x,-y,z'
'-x,y,z'
'x,-y,z'
'x+1/2,y+1/2,z+1/2'
'-x+1/2,-y+1/2,z+1/2'
'-x+1/2,y+1/2,z+1/2'
'x+1/2,-y+1/2,z+1/2'
loop_
_atom_site_label
_atom_site_fract_x
_atom_site_fract_y
_atom_site_fract_z
Sr1 0.0000 0.0000 0.0000
In1 0.0000 0.0000 0.5215
In2 0.0000 0.5000 0.7685
Cu1 0.0000 0.5000 0.2129
```

2.
Compound: CaTaNi
Source: Alexandria via LeMat-Bulk
Functional: PBE
Structure: relaxed

Formation energy in eV/atom: 0.716
Offset from the most stable computed form in meV/atom: 528

Geometry as CIF:
```
data_CaTaNi
_chemical_formula_sum 'Ca4 Ta4 Ni4'
_symmetry_space_group_name_H-M 'F -4 3 m'
_symmetry_Int_Tables_number 216
_symmetry_space_group_name_Hall 'F -4 2 3'
_cell_length_a 6.3161
_cell_length_b 6.3161
_cell_length_c 6.3161
_cell_angle_alpha 90.00
_cell_angle_beta 90.00
_cell_angle_gamma 90.00
loop_
_atom_site_label
_atom_site_fract_x
_atom_site_fract_y
_atom_site_fract_z
Ca1 0.0000 0.0000 0.0000
Ta1 0.0000 0.0000 0.5000
Ni1 0.2500 0.2500 0.2500
```

3.
Compound: CuC
Source: Alexandria via LeMat-Bulk
Functional: PBE
Structure: relaxed

Formation energy in eV/atom: 1.824
Offset from the most stable computed form in meV/atom: 1604

Geometry as CIF:
```
data_CuC
_chemical_formula_sum 'Cu3 C3'
_symmetry_space_group_name_H-M 'P 6/m m m'
_symmetry_Int_Tables_number 191
_symmetry_space_group_name_Hall '-P 6 2'
_cell_length_a 5.1654
_cell_length_b 5.1654
_cell_length_c 2.6837
_cell_angle_alpha 90.00
_cell_angle_beta 90.00
_cell_angle_gamma 120.00
loop_
_atom_site_label
_atom_site_fract_x
_atom_site_fract_y
_atom_site_fract_z
Cu1 0.0000 0.5000 0.0000
C1 0.0000 0.0000 0.0000
C2 0.3333 0.6667 0.5000
```

4.
Compound: TaOsW2
Source: Alexandria via LeMat-Bulk
Functional: PBE
Structure: relaxed

Formation energy in eV/atom: 0.049
Offset from the most stable computed form in meV/atom: 107

Geometry as CIF:
```
data_TaOsW2
_chemical_formula_sum 'Ta1 Os1 W2'
_symmetry_space_group_name_H-M 'P 4/m m m'
_symmetry_Int_Tables_number 123
_symmetry_space_group_name_Hall '-P 4 2'
_cell_length_a 4.5130
_cell_length_b 4.5130
_cell_length_c 3.1666
_cell_angle_alpha 90.00
_cell_angle_beta 90.00
_cell_angle_gamma 90.00
loop_
_atom_site_label
_atom_site_fract_x
_atom_site_fract_y
_atom_site_fract_z
Ta1 0.0000 0.0000 0.0000
Os1 0.5000 0.5000 0.0000
W1 0.0000 0.5000 0.5000
```

5.
Compound: LaTe
Source: Alexandria via LeMat-Bulk
Functional: PBE
Structure: relaxed

Formation energy without anion corrections in eV/atom: -1.446

Geometry as CIF:
```
data_LaTe
_chemical_formula_sum 'La6 Te6'
_symmetry_space_group_name_H-M 'C 1 m 1'
_symmetry_Int_Tables_number 8
_cell_length_a 11.8686
_cell_length_b 4.1325
_cell_length_c 8.5358
_cell_angle_alpha 90.00
_cell_angle_beta 109.08
_cell_angle_gamma 90.00
loop_
_symmetry_equiv_pos_as_xyz
'x,y,z'
'x,-y,z'
'x+1/2,y+1/2,z'
'x+1/2,-y+1/2,z'
loop_
_atom_site_label
_atom_site_fract_x
_atom_site_fract_y
_atom_site_fract_z
La1 0.0000 0.0000 0.0000
La2 0.1235 0.0000 0.6308
La3 0.3037 0.5000 0.3451
Te1 0.0173 0.5000 0.3042
Te2 0.2098 0.5000 0.9521
Te3 0.4015 0.0000 0.6672
```

6.
Compound: HgB3C
Source: Alexandria via LeMat-Bulk
Functional: PBE
Structure: relaxed

Formation energy in eV/atom: 2.020
Offset from the most stable computed form in meV/atom: 0

Geometry as CIF:
```
data_HgB3C
_chemical_formula_sum 'Hg1 B3 C1'
_symmetry_space_group_name_H-M 'P m -3 m'
_symmetry_Int_Tables_number 221
_symmetry_space_group_name_Hall '-P 4 2 3'
_cell_length_a 3.6880
_cell_length_b 3.6880
_cell_length_c 3.6880
_cell_angle_alpha 90.00
_cell_angle_beta 90.00
_cell_angle_gamma 90.00
loop_
_atom_site_label
_atom_site_fract_x
_atom_site_fract_y
_atom_site_fract_z
Hg1 0.0000 0.0000 0.0000
B1 0.0000 0.5000 0.5000
C1 0.5000 0.5000 0.5000
```

7.
Compound: Pm5BiTe4
Source: Alexandria via LeMat-Bulk
Functional: PBE
Structure: relaxed

Formation energy without anion corrections in eV/atom: -1.325

Geometry as CIF:
```
data_Pm5BiTe4
_chemical_formula_sum 'Pm10 Bi2 Te8'
_symmetry_space_group_name_H-M 'I m m m'
_symmetry_Int_Tables_number 71
_symmetry_space_group_name_Hall '-I 2 2'
_cell_length_a 4.4897
_cell_length_b 6.3371
_cell_length_c 22.4751
_cell_angle_alpha 90.00
_cell_angle_beta 90.00
_cell_angle_gamma 90.00
loop_
_atom_site_label
_atom_site_fract_x
_atom_site_fract_y
_atom_site_fract_z
Pm1 0.0000 0.0000 0.0000
Pm2 0.0000 0.0000 0.1996
Pm3 0.0000 0.0000 0.3991
Bi1 0.0000 0.5000 0.0000
Te1 0.0000 0.5000 0.2008
Te2 0.0000 0.5000 0.4000
```

8.
Compound: CaTmGa2Pd2
Source: Alexandria via LeMat-Bulk
Functional: PBE
Structure: relaxed

Formation energy in eV/atom: -0.794

Geometry as CIF:
```
data_CaTmGa2Pd2
_chemical_formula_sum 'Ca1 Tm1 Ga2 Pd2'
_symmetry_space_group_name_H-M 'P -3 m 1'
_symmetry_Int_Tables_number 164
_symmetry_space_group_name_Hall '-P 3 2"'
_cell_length_a 4.4549
_cell_length_b 4.4549
_cell_length_c 7.2355
_cell_angle_alpha 90.00
_cell_angle_beta 90.00
_cell_angle_gamma 120.00
loop_
_atom_site_label
_atom_site_fract_x
_atom_site_fract_y
_atom_site_fract_z
Ca1 0.0000 0.0000 0.0000
Tm1 0.0000 0.0000 0.5000
Ga1 0.3333 0.6667 0.7276
Pd1 0.3333 0.6667 0.2831
```

9.
Compound: CsAlSeBr2
Source: Alexandria via LeMat-Bulk
Functional: PBE
Structure: relaxed

Formation energy without anion corrections in eV/atom: -1.009

Geometry as CIF:
```
data_CsAlSeBr2
_chemical_formula_sum 'Cs1 Al1 Se1 Br2'
_symmetry_space_group_name_H-M 'P 4/m m m'
_symmetry_Int_Tables_number 123
_symmetry_space_group_name_Hall '-P 4 2'
_cell_length_a 5.5250
_cell_length_b 5.5250
_cell_length_c 4.8802
_cell_angle_alpha 90.00
_cell_angle_beta 90.00
_cell_angle_gamma 90.00
loop_
_atom_site_label
_atom_site_fract_x
_atom_site_fract_y
_atom_site_fract_z
Cs1 0.0000 0.0000 0.0000
Al1 0.5000 0.5000 0.5000
Se1 0.5000 0.5000 0.0000
Br1 0.0000 0.5000 0.5000
```

10.
Compound: AcNdIn
Source: Alexandria via LeMat-Bulk
Functional: PBE
Structure: relaxed

Formation energy in eV/atom: -0.303
Offset from the most stable computed form in meV/atom: 0

Geometry as CIF:
```
data_AcNdIn
_chemical_formula_sum 'Ac2 Nd2 In2'
_symmetry_space_group_name_H-M 'P 4/n m m'
_symmetry_Int_Tables_number 129
_cell_length_a 5.0052
_cell_length_b 5.0052
_cell_length_c 8.6314
_cell_angle_alpha 90.00
_cell_angle_beta 90.00
_cell_angle_gamma 90.00
loop_
_symmetry_equiv_pos_as_xyz
'x,y,z'
'-x,-y,-z'
'-y+1/2,x,z'
'y+1/2,-x,-z'
'-x+1/2,-y+1/2,z'
'x+1/2,y+1/2,-z'
'y,-x+1/2,z'
'-y,x+1/2,-z'
'x+1/2,-y,-z'
'-x+1/2,y,z'
'-y,-x,-z'
'y,x,z'
'-x,y+1/2,-z'
'x,-y+1/2,z'
'y+1/2,x+1/2,-z'
'-y+1/2,-x+1/2,z'
loop_
_atom_site_label
_atom_site_fract_x
_atom_site_fract_y
_atom_site_fract_z
Ac1 0.2500 0.2500 0.1474
Nd1 0.2500 0.7500 0.5000
In1 0.2500 0.2500 0.7548
```

11.
Compound: HoMgPb3
Source: Alexandria via LeMat-Bulk
Functional: PBE
Structure: relaxed

Formation energy in eV/atom: -0.060
Offset from the most stable computed form in meV/atom: 156

Geometry as CIF:
```
data_HoMgPb3
_chemical_formula_sum 'Ho2 Mg2 Pb6'
_symmetry_space_group_name_H-M 'P m m n'
_symmetry_Int_Tables_number 59
_cell_length_a 5.1691
_cell_length_b 6.5519
_cell_length_c 8.8171
_cell_angle_alpha 90.00
_cell_angle_beta 90.00
_cell_angle_gamma 90.00
loop_
_symmetry_equiv_pos_as_xyz
'x,y,z'
'-x,-y,-z'
'-x+1/2,-y+1/2,z'
'x+1/2,y+1/2,-z'
'x+1/2,-y,-z'
'-x+1/2,y,z'
'-x,y+1/2,-z'
'x,-y+1/2,z'
loop_
_atom_site_label
_atom_site_fract_x
_atom_site_fract_y
_atom_site_fract_z
Ho1 0.2500 0.2500 0.1332
Mg1 0.2500 0.7500 0.4111
Pb1 0.2500 0.0029 0.7082
Pb2 0.2500 0.7500 0.0707
```

12.
Compound: Th6Te3PIr2
Source: Alexandria via LeMat-Bulk
Functional: PBE
Structure: relaxed

Formation energy without anion corrections in eV/atom: -1.183

Geometry as CIF:
```
data_Th6Te3PIr2
_chemical_formula_sum 'Th12 Te6 P2 Ir4'
_symmetry_space_group_name_H-M 'C 1 2/m 1'
_symmetry_Int_Tables_number 12
_cell_length_a 7.4098
_cell_length_b 12.7855
_cell_length_c 7.8449
_cell_angle_alpha 90.00
_cell_angle_beta 108.25
_cell_angle_gamma 90.00
loop_
_symmetry_equiv_pos_as_xyz
'x,y,z'
'-x,-y,-z'
'-x,y,-z'
'x,-y,z'
'x+1/2,y+1/2,z'
'-x+1/2,-y+1/2,-z'
'-x+1/2,y+1/2,-z'
'x+1/2,-y+1/2,z'
loop_
_atom_site_label
_atom_site_fract_x
_atom_site_fract_y
_atom_site_fract_z
Th1 0.2234 0.0000 0.2052
Th2 0.2415 0.3275 0.2057
Te1 0.0000 0.0000 0.5000
Te2 0.0000 0.3389 0.5000
P1 0.0000 0.5000 0.0000
Ir1 0.0000 0.1671 0.0000
```

Q: Which M_tot values were calculated for the entries above? A: 0.00, 0.01, 0.00, 0.00, 1.87, 0.00, 0.00, 0.00, 0.00, 0.76, 0.00, 0.00, in Bohr magnetons per cell.
Q: Which calculated total energy values were calculated for the entries above? A: -2.918, -5.830, -4.836, -12.198, -5.481, -3.892, -5.345, -4.612, -3.294, -4.175, -3.519, -7.606, in eV/atom.